Entry 1:
Entry from the Alexandria database: crystalline La2ThTaN4 at its relaxed geometry (PBE-GGA).

Results
For the total magnetic moment, the calculation gives 0.00 Bohr magnetons per cell. The value obtained for the uncorrected energy is -9.125 eV/atom.

abc: 6.102 3.452 6.219
angles: 90.00 107.99 90.00
Space group P2/m (No. 10)
Inequivalent atoms, fractional coordinates:
La: 0.000 0.000 0.000 [1 per cell]
La: 0.500 0.500 0.000 [1 per cell]
Th: 0.000 0.500 0.500 [1 per cell]
Ta: 0.500 0.000 0.500 [1 per cell]
N: 0.274 0.000 0.706 [2 per cell]
N: 0.292 0.500 0.301 [2 per cell]

=====

Entry 2:
Entry from the Alexandria database: crystalline LaThTaN4 at its relaxed geometry (PBE-GGA).

Results
For the total magnetic moment, the calculation gives 0.00 Bohr magnetons per cell. The value obtained for the uncorrected energy is -9.643 eV/atom.

abc: 4.024 4.024 12.829
angles: 90.00 90.00 90.00
Space group I4mm (No. 107)
Inequivalent atoms, fractional coordinates:
La: 0.000 0.000 0.000 [2 per cell]
Th: 0.000 0.000 0.710 [2 per cell]
Ta: 0.000 0.000 0.358 [2 per cell]
N: 0.000 0.000 0.175 [2 per cell]
N: 0.000 0.000 0.518 [2 per cell]
N: 0.000 0.500 0.336 [4 per cell]